Entry 1:
Material: Mn2SbSe
Method: DFT, PBE
State: relaxed

Cell lengths 3.814, 3.814, 6.884 Å; angles 73.84, 73.84, 59.84 degrees
Site moments in Bohr magnetons follow the coordinates.
Element x y z (fractional)
Sb (0.750, 0.750, 0.750)  -0.11
Se (0.250, 0.250, 0.250)  0.08
Mn (0.506, 0.506, 0.482)  3.93
Mn (0.994, 0.994, 0.018)  3.93

Properties
The value obtained for the density is 6.3 g cm⁻³. The calculation puts the formation energy (no corrections) at -90 meV per atom. The value obtained for the volume is 82.0 Å³/cell.

---

Entry 2:
Material: MnSbSe2
Method: DFT, PBE
State: relaxed

Cell lengths 4.071, 4.071, 5.754 Å; angles 90.00, 90.00, 90.00 degrees
Site moments in Bohr magnetons follow the coordinates.
Element x y z (fractional)
Se (0.500, 0.500, 0.500)  0.04
Mn (0.000, 0.000, 0.500)  4.29
Sb (0.500, 0.500, 0.000)  -0.08
Se (0.000, 0.000, 0.000)  0.01

Properties
The value obtained for the density is 5.8 g cm⁻³. The calculation puts the formation energy (no corrections) at -105 meV per atom. The value obtained for the volume is 95.4 Å³/cell.

---

Entry 3:
Material: MnSbSe2
Method: DFT, PBE
State: relaxed

Cell lengths 6.294, 6.650, 6.650 Å; angles 42.36, 97.93, 82.07 degrees
Element x y z (fractional)
Se (0.657, 0.864, 0.796)
Se (0.843, 0.296, 0.364)
Mn (0.250, 0.083, 0.583)
Sb (0.250, 0.670, 0.170)
Se (0.157, 0.704, 0.636)
Mn (0.750, 0.917, 0.417)
Se (0.343, 0.136, 0.204)
Sb (0.750, 0.330, 0.830)

Properties
The value obtained for the density is 6.4 g cm⁻³. The calculation puts the formation energy (no corrections) at 158 meV per atom. The value obtained for the volume is 173.4 Å³/cell.